1.
DFT (PBE-GGA) results for an optimized crystal structure of Pu2H2I3Br.

Cell: 4.001 4.001 15.623 Å, 90.00 90.00 120.00°
Last column: magnetic moment on the atom in μB.
Atoms (fractional coordinates):
Br  0.000  0.000  0.878  -0.05
H  0.000  0.000  0.248  -0.03
H  0.333  0.667  0.754  -0.03
I  0.333  0.667  0.110  -0.08
I  0.333  0.667  0.385  -0.08
I  0.000  0.000  0.619  -0.08
Pu  0.667  0.333  0.248  4.94
Pu  0.667  0.333  0.757  5.19

Output
final energy	-49.5	eV/cell
magnetization	10.01	Bohr magnetons per cell
space group	P3m1

2.
DFT (PBE-GGA) results for an optimized crystal structure of YTm2P3.

Cell: 3.969 3.969 9.712 Å, 90.00 90.00 120.00°
Atoms (fractional coordinates):
P  0.000  0.000  0.000
P  0.333  0.667  0.330
P  0.667  0.333  0.670
Tm  0.667  0.333  0.165
Tm  0.333  0.667  0.835
Y  0.000  0.000  0.500

Output
final energy	-41.3	eV/cell
magnetization	0.00	Bohr magnetons per cell
space group	P-3m1

3.
DFT (PBE-GGA) results for an optimized crystal structure of CsYTc.

Cell: 4.898 4.898 4.898 Å, 60.00 60.00 60.00°
Atoms (fractional coordinates):
Cs  0.000  0.000  0.000
Tc  0.250  0.250  0.250
Y  0.750  0.750  0.750

Output
final energy	-11.6	eV/cell
magnetization	1.37	Bohr magnetons per cell
space group	F-43m

4.
DFT (PBE-GGA) results for an optimized crystal structure of ThCu.

Cell: 3.407 3.407 4.563 Å, 90.00 90.00 120.00°
Atoms (fractional coordinates):
Cu  0.667  0.333  0.750
Th  0.333  0.667  0.250

Output
ΔH_f (0 K)	0.180	eV/atom
final energy	-10.8	eV/cell
magnetization	0.03	Bohr magnetons per cell
space group	P-6m2

5.
DFT (PBE-GGA) results for an optimized crystal structure of CsNpHg.

Cell: 5.715 5.715 5.715 Å, 60.00 60.00 60.00°
Last column: magnetic moment on the atom in μB.
Atoms (fractional coordinates):
Cs  0.750  0.750  0.750  0.06
Hg  0.000  0.000  0.000  0.10
Np  0.250  0.250  0.250  4.69

Output
final energy	-11.1	eV/cell
magnetization	5.88	Bohr magnetons per cell
space group	F-43m

6.
DFT (PBE-GGA) results for an optimized crystal structure of HfPaCu.

Cell: 4.558 4.558 4.558 Å, 60.00 60.00 60.00°
Atoms (fractional coordinates):
Cu  0.000  0.000  0.000
Hf  0.250  0.250  0.250
Pa  0.750  0.750  0.750

Output
ΔH_f (0 K)	0.465	eV/atom
final energy	-21.8	eV/cell
magnetization	0.03	Bohr magnetons per cell
space group	F-43m

7.
DFT (PBE-GGA) results for an optimized crystal structure of DyTaPd.

Cell: 4.640 4.640 4.640 Å, 60.00 60.00 60.00°
Last column: magnetic moment on the atom in μB.
Atoms (fractional coordinates):
Dy  0.000  0.000  0.000  0.42
Pd  0.250  0.250  0.250  0.07
Ta  0.750  0.750  0.750  1.11

Output
ΔH_f (0 K)	1.066	eV/atom
final energy	-18.4	eV/cell
magnetization	1.84	Bohr magnetons per cell
space group	F-43m

8.
DFT (PBE-GGA) results for an optimized crystal structure of BaErPt.

Cell: 5.130 5.130 5.130 Å, 60.00 60.00 60.00°
Atoms (fractional coordinates):
Ba  0.250  0.250  0.250
Er  0.750  0.750  0.750
Pt  0.000  0.000  0.000

Output
final energy	-13.9	eV/cell
magnetization	0.00	Bohr magnetons per cell
space group	F-43m